# 1
! Co2Pt2Pb GGA-PBE optimized geometry; values from VASP
! - Symmetry: No. 127
! - Crystal system: tetragonal
! - Energy above the most stable polymorph in this dataset: 19.6 meV per atom
! - DFT formation energy: 0.197 eV per atom
&SYSTEM
  ibrav = 0, nat = 10, ntyp = 3
/
ATOMIC_SPECIES
Co 58.93 Co.upf
Pt 195.08 Pt.upf
Pb 207.20 Pb.upf
ATOMIC_POSITIONS crystal
Co 0.373 0.873 0.000
Co 0.127 0.373 0.000
Pt 0.654 0.846 0.500
Pb 0.000 0.000 0.000
Pt 0.346 0.154 0.500
Pt 0.154 0.654 0.500
Pt 0.846 0.346 0.500
Pb 0.500 0.500 0.000
Co 0.873 0.627 0.000
Co 0.627 0.127 0.000
CELL_PARAMETERS angstrom
-2.830 -5.963 1.429
6.131 -2.732 0.744
-0.041 0.841 3.428

---

# 2
! Np2Si4TcPt3 GGA-PBE optimized geometry; values from VASP
! - Symmetry: No. 115
! - Crystal system: tetragonal
! - Electronic total energy: -83.1 eV for the cell shown
&SYSTEM
  ibrav = 0, nat = 10, ntyp = 4
/
ATOMIC_SPECIES
Si 28.09 Si.upf
Np 237.00 Np.upf
Pt 195.08 Pt.upf
Tc 98.00 Tc.upf
ATOMIC_POSITIONS crystal
Si 0.000 0.500 0.370
Np 0.500 0.000 0.248
Pt 0.000 0.500 0.124
Pt 0.000 0.000 0.500
Pt 0.500 0.000 0.876
Si 0.500 0.500 0.000
Si 0.000 0.000 0.000
Tc 0.500 0.500 0.500
Si 0.500 0.000 0.630
Np 0.000 0.500 0.752
CELL_PARAMETERS angstrom
-0.148 -4.148 0.678
4.201 -0.129 0.127
-0.242 1.590 9.669

---

# 3
! Na2HgCl GGA-PBE optimized geometry; values from VASP
! - Symmetry: No. 122
! - Crystal system: tetragonal
! - Energy above the most stable polymorph in this dataset: 111.9 meV per atom
&SYSTEM
  ibrav = 0, nat = 8, ntyp = 3
/
ATOMIC_SPECIES
Na 22.99 Na.upf
Hg 200.59 Hg.upf
Cl 35.45 Cl.upf
ATOMIC_POSITIONS crystal
Na 0.875 0.823 0.750
Hg 0.750 0.250 0.500
Cl 0.250 0.750 0.500
Na 0.177 0.625 0.250
Hg 0.000 0.000 0.000
Cl 0.500 0.500 0.000
Na 0.573 0.125 0.250
Na 0.375 0.427 0.750
CELL_PARAMETERS angstrom
-6.413 4.526 0.196
-0.002 -0.343 7.845
-0.949 5.286 4.161

---

Number 1: magnetic moment 7.531 μB/cell. Number 2: magnetic moment 7.533 μB/cell. Number 3: magnetic moment 0.000 μB/cell.